Record 1
PBE MgAg2Ru, optimized geometry; DFT total energy = -15.495 eV for the cell shown; size of the total moment = 0.386 μB/atom; calculated volume = 68 Å³/cell; DOS(E_F) = 1.8 states/eV/f.u.; SG = P4/mmm (123)
1.0
2.9133 0.0000 0.0000
0.0000 2.9133 0.0000
0.0000 0.0000 7.9880
Ag Mg Ru
2 1 1
Cartesian
0.0000 0.0000 4.0033
0.0000 0.0000 7.9787
1.4566 1.4566 1.9970
1.4566 1.4566 5.9910

=====

Record 2
PBE CeSmEr4, optimized geometry; DFT total energy = -54.827 eV for the cell shown; size of the total moment = 0.276 μB/atom; calculated volume = 382 Å³/cell; DOS(E_F) = 11.8 states/eV/f.u.; SG = Cmcm (63)
1.0
6.5070 -0.4655 0.0000
-2.8736 5.8567 0.0000
0.0000 0.0000 10.3984
Er Ce Sm
8 2 2
Cartesian
3.3338 1.6731 5.9070
1.8666 4.5775 7.7988
1.7669 0.8136 2.5996
0.2996 3.7181 0.7078
3.3338 1.6731 9.6906
0.0911 1.9431 7.7988
0.2996 3.7181 4.4914
3.5424 3.4481 2.5996
0.0000 0.0000 0.0000
0.0000 0.0000 5.1992
4.9166 0.6064 2.5996
-1.2831 4.7848 7.7988

=====

Record 3
PBE PmSmTmSn, optimized geometry; DFT total energy = -18.800 eV for the cell shown; size of the total moment = 0.000 μB/atom; calculated volume = 115 Å³/cell; DOS(E_F) = 7.6 states/eV/f.u.; SG = F-43m (216)
1.0
-5.1561 -0.5359 1.6992
-2.5872 -4.7655 -0.5967
-1.1264 -3.0586 4.3744
Pm Tm Sm Sn
1 1 1 1
Cartesian
-6.6522 -6.2700 4.1077
-4.4348 -4.1800 2.7385
0.0000 0.0000 0.0000
-2.2174 -2.0900 1.3692